(1)
A PBEsol-optimized structure of PAu3Br. Source: the Alexandria database, functional SCAN.

The structure in extended XYZ format:
```
5
Lattice="4.930 0.000 0.000 0.000 4.930 0.000 0.000 0.000 4.930" Properties=species:S:1:pos:R:3 pbc="T T T"
P 2.465 2.465 2.465
Au 0.000 2.465 0.000
Au 0.000 0.000 2.465
Au 2.465 0.000 0.000
Br 0.000 0.000 0.000
```

Computed properties:
Its density of states at the Fermi level is 3.0 states/eV/f.u. The total energy comes out at -46.030 eV/atom. Its volume is 119.8 Å³ per cell. As for the symmetry: Pm-3m. Its magnetization is 1.55 μB/cell.

***

(2)
A PBEsol-optimized structure of PAuBr2. Source: the Alexandria database, functional SCAN.

The structure in extended XYZ format:
```
4
Lattice="-2.903 0.637 -1.701 1.156 -1.826 -2.656 -3.367 -6.792 3.204" Properties=species:S:1:pos:R:3 pbc="T T T"
Au -2.867 -4.615 -0.282
Br -3.190 -6.435 3.035
Br -1.814 -2.492 -1.283
P -2.293 -4.627 2.182
```

Computed properties:
Its density of states at the Fermi level is 2.2 states/eV/f.u. The calculation puts the offset from the most stable computed form at 0 meV per atom. Its volume is 96.5 Å³ per cell. As for the symmetry: P4mm. Its magnetization is 0.00 μB/cell.